# 1
A plane-wave DFT calculation with GGA-PBE was carried out for an optimized crystal structure of K2MnRu.

Computed properties:
**Space group**: I-42d
**Spin magnetization**: 7.79 μB per cell
**ΔE to the lowest computed polymorph**: 38.8 kJ per mole of atoms
**DFT formation energy**: 1.06 eV per atom

a b c (Å): 9.045 9.045 9.045
angles (deg): 93.63 93.63 150.86
Sites, in units of the cell vectors:
K (0.375, 0.066, 0.191)
K (0.816, 0.625, 0.691)
K (0.875, 0.184, 0.809)
K (0.934, 0.125, 0.309)
Mn (0.250, 0.750, 0.500)
Mn (0.500, 0.500, 0.000)
Ru (0.000, 0.000, 0.000)
Ru (0.750, 0.250, 0.500)


# 2
A plane-wave DFT calculation with GGA-PBE was carried out for an optimized crystal structure of K2MnRu.

Computed properties:
**Space group**: I-4m2
**Spin magnetization**: 4.62 μB per cell
**ΔE to the lowest computed polymorph**: 58.3 kJ per mole of atoms
**DFT formation energy**: 1.26 eV per atom

a b c (Å): 5.141 5.141 5.141
angles (deg): 119.94 119.94 90.11
Sites, in units of the cell vectors:
K (0.000, 0.000, 0.000)
K (0.750, 0.250, 0.500)
Mn (0.500, 0.500, 0.000)
Ru (0.250, 0.750, 0.500)